1.
First-principles (PBE) data for crystalline Mg4ReTc at its relaxed geometry, as listed in Alexandria via LeMat-Bulk.

Cell lengths 5.228, 5.228, 5.228 Å; angles 60.00, 60.00, 60.00 degrees
Atoms (fractional coordinates):
1 Mg 0.125 0.125 0.125
2 Mg 0.125 0.125 0.626
3 Mg 0.125 0.626 0.125
4 Mg 0.626 0.125 0.125
5 Re 0.750 0.750 0.750
6 Tc 0.500 0.500 0.500

- Crystal system: cubic
- Formation enthalpy at 0 K: 0.7386 eV/atom

2.
First-principles (PBE) data for crystalline MgRe2Tc at its relaxed geometry, as listed in Alexandria via LeMat-Bulk.

Cell lengths 5.050, 5.050, 5.050 Å; angles 136.27, 136.27, 63.56 degrees
Atoms (fractional coordinates):
1 Mg 0.000 0.000 0.000
2 Re 0.250 0.750 0.500
3 Re 0.750 0.250 0.500
4 Tc 0.500 0.500 0.000

- Crystal system: tetragonal
- Formation enthalpy at 0 K: 0.3395 eV/atom

3.
First-principles (PBE) data for crystalline MgReTc at its relaxed geometry, as listed in Alexandria via LeMat-Bulk.

Cell lengths 4.237, 4.237, 4.237 Å; angles 60.00, 60.00, 60.00 degrees
Atoms (fractional coordinates):
1 Mg 0.000 0.000 0.000
2 Re 0.500 0.500 0.500
3 Tc 0.750 0.750 0.750

- Crystal system: cubic
- Formation enthalpy at 0 K: 0.5934 eV/atom

Number 1: total energy -4.13 eV/atom. Number 2: total energy -8.87 eV/atom. Number 3: total energy -7.54 eV/atom.